(1)
Material: CeTm5In3
Method: DFT, PBE
State: optimized geometry

formation enthalpy at 0 K	-0.3299	eV per atom
crystal system	hexagonal
space-group type	No. 193

Unit cell a=6.6327 b=9.2596 c=9.2597 alpha=120.00 beta=90.00 gamma=90.00
Last column: magnetic moment on the atom in μB.
Fractional positions:
Ce  0.0000  0.0000  0.0000  1.03
Ce  0.5000  0.0000  0.0000  1.03
Tm  0.0000  0.6667  0.3333  0.07
Tm  0.5000  0.3333  0.6667  0.07
Tm  0.0000  0.3333  0.6667  0.07
Tm  0.5000  0.6667  0.3333  0.07
Tm  0.7500  0.6736  0.6736  0.15
Tm  0.7500  0.0000  0.3264  0.15
Tm  0.7500  0.3263  0.0000  0.15
Tm  0.2500  0.3264  0.3264  0.15
Tm  0.2500  0.0000  0.6736  0.15
Tm  0.2500  0.6737  0.0000  0.15
In  0.7500  0.3426  0.3426  -0.01
In  0.7500  0.0000  0.6574  -0.01
In  0.7500  0.6574  0.0000  -0.01
In  0.2500  0.6574  0.6574  -0.01
In  0.2500  0.0000  0.3426  -0.01
In  0.2500  0.3426  0.0000  -0.01

(2)
Material: CeTm4In2
Method: DFT, PBE
State: optimized geometry

formation enthalpy at 0 K	0.2038	eV per atom
crystal system	tetragonal
space-group type	No. 139

Unit cell a=5.6337 b=5.6337 c=7.6164 alpha=111.71 beta=111.71 gamma=90.00
Last column: magnetic moment on the atom in μB.
Fractional positions:
Ce  0.0000  0.0000  0.0000  0.55
Tm  0.7500  0.2500  0.5000  0.01
Tm  0.2500  0.7500  0.5000  0.01
Tm  0.5000  0.0000  0.0000  0.09
Tm  0.0000  0.5000  0.0000  0.09
In  0.6261  0.6261  0.2522  -0.01
In  0.3739  0.3739  0.7478  -0.01

(3)
Material: Ce3Tm2In3
Method: DFT, PBE
State: optimized geometry

formation enthalpy at 0 K	-0.2396	eV per atom
crystal system	hexagonal
space-group type	No. 189

Unit cell a=3.2817 b=8.8100 c=8.8100 alpha=120.00 beta=90.00 gamma=90.00
Last column: magnetic moment on the atom in μB.
Fractional positions:
Ce  0.0000  0.7735  0.7735  0.98
Ce  0.0000  0.2265  0.0000  0.98
Ce  0.0000  0.0000  0.2265  0.98
Tm  0.0000  0.3333  0.6667  0.04
Tm  0.0000  0.6667  0.3333  0.04
In  0.5000  0.3942  0.3942  -0.02
In  0.5000  0.6058  0.0000  -0.02
In  0.5000  0.0000  0.6058  -0.02

(4)
Material: CeTm8In2
Method: DFT, PBE
State: optimized geometry

formation enthalpy at 0 K	-0.0138	eV per atom
crystal system	monoclinic
space-group type	No. 12

Unit cell a=6.1930 b=9.7303 c=9.7303 alpha=39.26 beta=115.70 gamma=115.70
Last column: magnetic moment on the atom in μB.
Fractional positions:
Ce  0.0000  0.0000  0.0000  0.76
Tm  0.2628  0.1538  0.6481  0.03
Tm  0.2628  0.6481  0.1538  0.03
Tm  0.7372  0.8462  0.3519  0.03
Tm  0.2433  0.5820  0.5820  0.06
Tm  0.7372  0.3519  0.8462  0.03
Tm  0.2788  0.2232  0.2232  0.00
Tm  0.7212  0.7768  0.7768  0.00
Tm  0.7567  0.4180  0.4180  0.06
In  0.8197  0.2562  0.2562  0.00
In  0.1803  0.7438  0.7438  0.00

(5)
Material: CeTm2In3
Method: DFT, PBE
State: optimized geometry

formation enthalpy at 0 K	-0.4057	eV per atom
crystal system	tetragonal
space-group type	No. 123

Unit cell a=3.4524 b=3.4524 c=13.2241 alpha=90.00 beta=90.00 gamma=90.00
Last column: magnetic moment on the atom in μB.
Fractional positions:
Ce  0.5000  0.5000  0.5000  0.71
Tm  0.5000  0.5000  0.8386  0.09
Tm  0.5000  0.5000  0.1614  0.09
In  0.0000  0.0000  0.0000  0.00
In  0.0000  0.0000  0.6749  -0.01
In  0.0000  0.0000  0.3251  -0.01

(6)
Material: Ce6TmIn2
Method: DFT, PBE
State: optimized geometry

formation enthalpy at 0 K	-0.0958	eV per atom
polymorph energy (0 for the lowest one)	0.0626	eV/atom
crystal system	monoclinic
space-group type	No. 12

Unit cell a=3.5254 b=9.2347 c=9.2347 alpha=125.79 beta=86.73 gamma=86.73
Last column: magnetic moment on the atom in μB.
Fractional positions:
Ce  0.8984  0.5154  0.1778  0.44
Ce  0.1016  0.4846  0.8222  0.44
Ce  0.6476  0.6485  0.6485  0.07
Ce  0.8984  0.1778  0.5154  0.44
Ce  0.1016  0.8222  0.4846  0.44
Ce  0.3524  0.3515  0.3515  0.07
Tm  0.0000  0.0000  0.0000  0.02
In  0.5000  0.8379  0.1621  -0.01
In  0.5000  0.1621  0.8379  -0.01

(7)
Material: CeTmIn2
Method: DFT, PBE
State: optimized geometry

formation enthalpy at 0 K	-0.3984	eV per atom
crystal system	tetragonal
space-group type	No. 123

Unit cell a=3.4339 b=3.4339 c=8.9983 alpha=90.00 beta=90.00 gamma=90.00
Last column: magnetic moment on the atom in μB.
Fractional positions:
Tm  0.5000  0.5000  0.5000  0.15
Ce  0.5000  0.5000  0.0000  0.78
In  0.0000  0.0000  0.7410  -0.01
In  0.0000  0.0000  0.2590  -0.01

(8)
Material: CeTm12In3
Method: DFT, PBE
State: optimized geometry

formation enthalpy at 0 K	-0.1671	eV per atom
crystal system	tetragonal
space-group type	No. 123

Unit cell a=4.7967 b=4.7967 c=19.5175 alpha=90.00 beta=90.00 gamma=90.00
Last column: magnetic moment on the atom in μB.
Fractional positions:
Ce  0.0000  0.0000  0.0000  -0.85
Tm  0.5000  0.5000  0.0000  -0.20
Tm  0.5000  0.5000  0.2552  -0.03
Tm  0.5000  0.5000  0.5000  0.03
Tm  0.5000  0.5000  0.7448  -0.03
Tm  0.5000  0.0000  0.1300  -0.14
Tm  0.5000  0.0000  0.3770  0.01
Tm  0.5000  0.0000  0.6230  0.01
Tm  0.5000  0.0000  0.8700  -0.14
Tm  0.0000  0.5000  0.1300  -0.14
Tm  0.0000  0.5000  0.3770  0.01
Tm  0.0000  0.5000  0.6230  0.01
Tm  0.0000  0.5000  0.8700  -0.14
In  0.0000  0.0000  0.2559  0.00
In  0.0000  0.0000  0.5000  0.00
In  0.0000  0.0000  0.7441  0.00

(9)
Material: CeTm2In
Method: DFT, PBE
State: optimized geometry

formation enthalpy at 0 K	-0.0542	eV per atom
polymorph energy (0 for the lowest one)	0.1529	eV/atom
crystal system	cubic
space-group type	No. 225

Unit cell a=5.3438 b=5.3438 c=5.3438 alpha=60.00 beta=60.00 gamma=60.00
Last column: magnetic moment on the atom in μB.
Fractional positions:
Tm  0.2500  0.2500  0.2500  0.06
Tm  0.7500  0.7500  0.7500  0.06
Ce  0.5000  0.5000  0.5000  0.17
In  0.0000  0.0000  0.0000  -0.01

(10)
Material: CeTm6In2
Method: DFT, PBE
State: optimized geometry

formation enthalpy at 0 K	0.5754	eV per atom
crystal system	tetragonal
space-group type	No. 121

Unit cell a=5.5705 b=5.5705 c=11.0176 alpha=104.64 beta=104.64 gamma=90.00
Last column: magnetic moment on the atom in μB.
Fractional positions:
Ce  0.5000  0.5000  0.0000  0.74
Tm  0.8710  0.2593  0.1303  0.07
Tm  0.7407  0.7407  0.8697  0.07
Tm  0.2593  0.8710  0.1303  0.07
Tm  0.1290  0.1290  0.8697  0.07
Tm  0.7500  0.2500  0.5000  0.01
Tm  0.2500  0.7500  0.5000  0.01
In  0.1900  0.1900  0.3800  0.00
In  0.8100  0.8100  0.6200  0.00

(11)
Material: CeTm3In3
Method: DFT, PBE
State: optimized geometry

formation enthalpy at 0 K	-0.2927	eV per atom
crystal system	hexagonal
space-group type	No. 176

Unit cell a=5.2165 b=9.2655 c=9.2655 alpha=120.00 beta=90.00 gamma=90.00
Last column: magnetic moment on the atom in μB.
Fractional positions:
Ce  0.2500  0.6667  0.3333  0.83
Ce  0.7500  0.3333  0.6667  0.83
Tm  0.2500  0.7736  0.7688  0.02
Tm  0.2500  0.2312  0.0048  0.02
Tm  0.2500  0.9952  0.2264  0.02
Tm  0.7500  0.2264  0.2312  0.02
Tm  0.7500  0.7688  0.9952  0.02
Tm  0.7500  0.0048  0.7736  0.02
In  0.7500  0.6218  0.5468  0.01
In  0.7500  0.4532  0.0750  0.01
In  0.7500  0.9250  0.3782  0.01
In  0.2500  0.3782  0.4532  0.01
In  0.2500  0.5468  0.9250  0.01
In  0.2500  0.0750  0.6218  0.01

(12)
Material: CeTm5In4
Method: DFT, PBE
State: optimized geometry

formation enthalpy at 0 K	-0.3427	eV per atom
crystal system	tetragonal
space-group type	No. 123

Unit cell a=3.4779 b=3.4779 c=21.8397 alpha=90.00 beta=90.00 gamma=90.00
Last column: magnetic moment on the atom in μB.
Fractional positions:
Ce  0.0000  0.0000  0.0000  -0.38
Tm  0.5000  0.5000  0.1112  -0.01
Tm  0.5000  0.5000  0.3055  0.12
Tm  0.5000  0.5000  0.5000  -0.11
Tm  0.5000  0.5000  0.6945  0.12
Tm  0.5000  0.5000  0.8888  -0.01
In  0.0000  0.0000  0.2078  0.00
In  0.0000  0.0000  0.4026  0.00
In  0.0000  0.0000  0.5974  0.00
In  0.0000  0.0000  0.7922  0.00

Number 1: magnetization 4.11 Bohr magnetons per cell, energy -4.3862 eV per atom. Number 2: magnetization 0.78 Bohr magnetons per cell, energy -3.9814 eV per atom. Number 3: magnetization 3.95 Bohr magnetons per cell, energy -4.6096 eV per atom. Number 4: magnetization 1.23 Bohr magnetons per cell, energy -4.3032 eV per atom. Number 5: magnetization 1.09 Bohr magnetons per cell, energy -4.2544 eV per atom. Number 6: magnetization 2.24 Bohr magnetons per cell, energy -5.1571 eV per atom. Number 7: magnetization 1.17 Bohr magnetons per cell, energy -4.3690 eV per atom. Number 8: magnetization 1.93 Bohr magnetons per cell, energy -4.4051 eV per atom. Number 9: magnetization 0.37 Bohr magnetons per cell, energy -4.4580 eV per atom. Number 10: magnetization 1.26 Bohr magnetons per cell, energy -3.6735 eV per atom. Number 11: magnetization 2.15 Bohr magnetons per cell, energy -4.2303 eV per atom. Number 12: magnetization 0.29 Bohr magnetons per cell, energy -4.2672 eV per atom.